{
  "formula": "LaSbTe2P",
  "functional": "GGA-PBE",
  "state": "optimized geometry",
  "lattice": [[-3.905, -2.514, -2.724], [3.547, -3.683, -1.686], [-1.019, -2.856, 4.096]],
  "species": ["La", "Te", "Sb", "Te", "P"],
  "fractional_positions": [[0.500, 0.500, 0.500], [0.000, 0.500, 0.000], [0.000, 0.000, 0.500], [0.500, 0.000, 0.000], [0.000, 0.000, 0.000]],
  "rho_g_cm3": 6.1,
  "e_form_raw_mev_per_atom": -315,
  "final_energy_ha_per_atom": -0.164,
  "crystal_system": "tetragonal"
}